Tb3Y5Er3 | PBE | relaxed

a b c (Å): 9.6722 9.6722 5.3407
angles (deg): 90.00 90.00 120.00
Closest atoms and distances in Å follow each position.
Fractional positions:
Tb  0.0000  0.3759  0.0000  4 Y 3.04-3.20, 2 Er 3.22
Tb  0.3759  0.0000  0.0000  4 Y 3.04-3.20, 2 Er 3.22
Tb  0.6241  0.6241  0.0000  4 Y 3.04-3.20, 2 Er 3.22
Y  0.0000  0.7543  0.0000  2 Tb 3.20, 2 Er 3.25
Y  0.2457  0.2457  0.0000  2 Tb 3.20, 2 Er 3.25
Y  0.3333  0.6667  0.0000  3 Tb 3.04
Y  0.6667  0.3333  0.0000  3 Tb 3.04
Y  0.7543  0.0000  0.0000  2 Tb 3.20, 2 Er 3.25
Er  0.0000  0.5621  0.5000  2 Tb 3.22, 2 Y 3.25
Er  0.4379  0.4379  0.5000  2 Tb 3.22, 2 Y 3.25
Er  0.5621  0.0000  0.5000  2 Tb 3.22, 2 Y 3.25

M_tot, μB per formula unit: 0.001
DFT total energy, eV per atom: -4.6126
ΔH_f (0 K), eV per atom: 0.8328
Space-group type: P-62m